DFT (PBE-GGA) results for a geometry-optimized Y3GaSi2Pd9 structure.

Cell: 6.2663 6.2663 8.9828 Å, 90.00 90.00 120.00°
Atoms (fractional coordinates):
Si 0.3333 0.6667 0.1733
Si 0.6667 0.3333 0.8267
Pd 0.8541 0.1459 0.7162
Pd 0.0000 0.5000 0.0000
Pd 0.7081 0.8541 0.2838
Pd 0.5000 0.0000 0.0000
Pd 0.5000 0.5000 0.0000
Pd 0.2919 0.1459 0.7162
Pd 0.1459 0.2919 0.2838
Pd 0.8541 0.7081 0.7162
Pd 0.1459 0.8541 0.2838
Y 0.0000 0.0000 0.0000
Y 0.3333 0.6667 0.7106
Y 0.6667 0.3333 0.2894
Ga 0.0000 0.0000 0.5000

Properties
The value obtained for the uncorrected formation energy is -0.640 eV per atom. For the total DFT energy (no corrections), the calculation gives -89.600 eV per formula unit.

---

DFT (PBE-GGA) results for a geometry-optimized GeSb2OsI structure.

Cell: 5.0474 5.0474 5.7894 Å, 90.00 90.00 90.00°
Atoms (fractional coordinates):
Ge 0.5000 0.5000 0.5000
Sb 0.0000 0.5000 0.0000
Sb 0.5000 0.0000 0.0000
I 0.0000 0.0000 0.5000
Os 0.0000 0.0000 0.0000

Properties
The value obtained for the uncorrected formation energy is 0.802 eV per atom. For the total DFT energy (no corrections), the calculation gives -21.632 eV per formula unit.

---

DFT (PBE-GGA) results for a geometry-optimized AcAlTcO6 structure.

Cell: 5.1328 5.1328 10.6764 Å, 90.00 90.00 120.00°
Each line ends with the local moment (μB).
Atoms (fractional coordinates):
Ac 0.0000 0.0000 0.0000  0.01
Ac 0.0000 0.0000 0.5000  0.01
O 0.6145 0.0033 0.3515  0.02
O 0.9967 0.6112 0.3515  0.02
O 0.0033 0.6145 0.8515  0.02
O 0.6112 0.9967 0.8515  0.02
O 0.6145 0.6112 0.1485  0.02
O 0.3855 0.9967 0.6485  0.02
O 0.3888 0.0033 0.1485  0.02
O 0.3888 0.3855 0.3515  0.02
O 0.6112 0.6145 0.6485  0.02
O 0.0033 0.3888 0.6485  0.02
O 0.9967 0.3855 0.1485  0.02
O 0.3855 0.3888 0.8515  0.02
Tc 0.6667 0.3333 0.7500  0.79
Tc 0.3333 0.6667 0.2500  0.79
Al 0.6667 0.3333 0.2500  0.01
Al 0.3333 0.6667 0.7500  0.01

Properties
The value obtained for the uncorrected formation energy is -2.407 eV per atom. For the total DFT energy (no corrections), the calculation gives -69.626 eV per formula unit.

---

DFT (PBE-GGA) results for a geometry-optimized NdTlCdIn structure.

Cell: 5.3433 5.3433 5.3433 Å, 60.00 60.00 60.00°
Atoms (fractional coordinates):
Nd 0.2500 0.2500 0.2500
In 0.5000 0.5000 0.5000
Cd 0.7500 0.7500 0.7500
Tl 0.0000 0.0000 0.0000

Properties
For the total DFT energy (no corrections), the calculation gives -11.589 eV per formula unit. The formation energy from the elements is -0.2002 eV/atom.

---

DFT (PBE-GGA) results for a geometry-optimized ZnO structure.

Cell: 3.0679 3.0679 3.0679 Å, 60.00 60.00 60.00°
Atoms (fractional coordinates):
O 0.0000 0.0000 0.0000
Zn 0.5000 0.5000 0.5000

Properties
The value obtained for the uncorrected formation energy is -1.287 eV per atom. For the total DFT energy (no corrections), the calculation gives -8.806 eV per formula unit.

---

DFT (PBE-GGA) results for a geometry-optimized Fe5Pt6 structure.

Cell: 3.9805 7.2211 6.0748 Å, 90.00 70.88 90.00°
Each line ends with the local moment (μB).
Atoms (fractional coordinates):
Fe 0.3218 0.5000 0.3565  3.00
Fe 0.6782 0.5000 0.6435  3.00
Fe 0.0000 0.5000 0.0000  3.07
Fe 0.3479 0.0000 0.3043  3.19
Fe 0.6521 0.0000 0.6957  3.19
Pt 0.1650 0.2358 0.6700  0.42
Pt 0.5000 0.7394 0.0000  0.41
Pt 0.8350 0.2358 0.3300  0.42
Pt 0.8350 0.7642 0.3300  0.42
Pt 0.5000 0.2606 0.0000  0.41
Pt 0.1650 0.7642 0.6700  0.42

Properties
For the total DFT energy (no corrections), the calculation gives -80.093 eV per formula unit. The formation energy from the elements is -0.1395 eV/atom.

---

DFT (PBE-GGA) results for a geometry-optimized MgNbRu4 structure.

Cell: 5.1237 5.1237 5.1237 Å, 60.00 60.00 60.00°
Atoms (fractional coordinates):
Ru 0.6253 0.6253 0.6253
Ru 0.6253 0.6253 0.1242
Ru 0.1242 0.6253 0.6253
Ru 0.6253 0.1242 0.6253
Nb 0.2500 0.2500 0.2500
Mg 0.0000 0.0000 0.0000

Properties
For the total DFT energy (no corrections), the calculation gives -48.633 eV per formula unit. The formation energy from the elements is 0.0225 eV/atom.

---

DFT (PBE-GGA) results for a geometry-optimized LaSn4RuRh2 structure.

Cell: 4.5063 4.5063 9.9856 Å, 76.96 76.96 60.00°
Atoms (fractional coordinates):
La 0.0000 0.0000 0.0000
Sn 0.1320 0.1320 0.6039
Sn 0.8680 0.8680 0.3961
Sn 0.5999 0.5999 0.2002
Sn 0.4001 0.4001 0.7998
Rh 0.7704 0.7704 0.6887
Rh 0.2296 0.2296 0.3113
Ru 0.5000 0.5000 0.5000

Properties
For the total DFT energy (no corrections), the calculation gives -48.688 eV per formula unit. The formation energy from the elements is -0.4714 eV/atom.